No. 1
Entry from Alexandria: crystalline NaB2Cl2F6 at its relaxed geometry (GGA-PBE).

a b c (Å): 5.505 5.505 7.452
angles (deg): 90.00 90.00 120.00
Site moments in Bohr magnetons follow the coordinates.
Sites, in units of the cell vectors:
Na (0.000, 0.000, 0.000)  0.00
B (0.333, 0.667, 0.768)  -0.01
B (0.667, 0.333, 0.232)  -0.01
Cl (0.333, 0.667, 0.501)  0.40
Cl (0.667, 0.333, 0.499)  0.40
F (0.207, 0.387, 0.819)  0.00
F (0.180, 0.793, 0.819)  0.00
F (0.613, 0.820, 0.819)  0.00
F (0.793, 0.613, 0.181)  0.00
F (0.820, 0.207, 0.181)  0.00
F (0.387, 0.180, 0.181)  0.00

SG = P-3
final energy = -5.009 eV per atom
Fermi-level density of states = 0.14 states/eV/atom

---

No. 2
Entry from Alexandria: crystalline AlFeN2 at its relaxed geometry (GGA-PBE).

a b c (Å): 4.948 5.372 6.211
angles (deg): 90.00 90.00 90.00
Site moments in Bohr magnetons follow the coordinates.
Sites, in units of the cell vectors:
Al (0.003, 0.586, 0.376)  0.01
Al (0.503, 0.414, 0.624)  0.01
Al (0.503, 0.914, 0.876)  0.01
Al (0.003, 0.086, 0.124)  0.01
Fe (0.999, 0.575, 0.876)  0.23
Fe (0.499, 0.425, 0.124)  0.23
Fe (0.499, 0.925, 0.376)  0.23
Fe (0.999, 0.075, 0.624)  0.23
N (0.391, 0.590, 0.375)  0.01
N (0.891, 0.410, 0.625)  0.01
N (0.891, 0.910, 0.875)  0.01
N (0.391, 0.090, 0.125)  0.01
N (0.377, 0.584, 0.870)  0.01
N (0.877, 0.416, 0.130)  0.01
N (0.877, 0.916, 0.370)  0.01
N (0.377, 0.084, 0.630)  0.01

SG = Pna2_1
final energy = -7.631 eV per atom
Fermi-level density of states = 0.61 states/eV/atom

---

No. 3
Entry from Alexandria: crystalline Cs8I4Br3F at its relaxed geometry (GGA-PBE).

a b c (Å): 10.487 10.637 10.569
angles (deg): 119.76 119.74 90.00
Site moments in Bohr magnetons follow the coordinates.
Sites, in units of the cell vectors:
Cs (0.224, 0.714, 0.991)  0.00
Cs (0.243, 0.733, 0.487)  0.00
Cs (0.256, 0.267, 0.511)  0.00
Cs (0.767, 0.714, 0.991)  0.00
Cs (0.233, 0.286, 0.009)  0.00
Cs (0.744, 0.733, 0.489)  0.00
Cs (0.757, 0.267, 0.513)  0.00
Cs (0.776, 0.286, 0.009)  0.00
I (0.500, 0.000, 0.000)  0.09
I (0.500, 0.000, 0.500)  0.00
I (0.000, 0.000, 0.000)  0.01
I (0.000, 0.000, 0.500)  0.00
Br (0.500, 0.500, 0.000)  0.00
Br (0.500, 0.500, 0.500)  0.00
Br (0.000, 0.500, 0.500)  0.00
F (0.000, 0.500, 0.000)  0.00

SG = C2/m
final energy = -2.985 eV per atom
Fermi-level density of states = 0.00 states/eV/atom

---

No. 4
Entry from Alexandria: crystalline MgP2RhCl at its relaxed geometry (GGA-PBE).

a b c (Å): 4.542 4.542 5.203
angles (deg): 90.00 90.00 90.00
Sites, in units of the cell vectors:
P (0.000, 0.500, 0.000)
P (0.500, 0.000, 0.000)
Mg (0.500, 0.500, 0.500)
Rh (0.000, 0.000, 0.000)
Cl (0.000, 0.000, 0.500)

SG = P4/mmm
offset from the most stable computed form = 0.00 eV per formula unit
Fermi-level density of states = 0.85 states/eV/atom

---

No. 5
Entry from Alexandria: crystalline Nb5Pt4Rh2 at its relaxed geometry (GGA-PBE).

a b c (Å): 2.888 7.219 17.356
angles (deg): 90.00 90.00 90.00
Sites, in units of the cell vectors:
Nb (0.000, 0.500, 0.000)
Nb (0.000, 0.000, 0.500)
Nb (0.000, 0.260, 0.211)
Nb (0.000, 0.740, 0.789)
Nb (0.000, 0.760, 0.289)
Nb (0.000, 0.240, 0.711)
Nb (0.000, 0.356, 0.433)
Nb (0.000, 0.644, 0.567)
Nb (0.000, 0.856, 0.067)
Nb (0.000, 0.144, 0.933)
Pt (0.500, 0.291, 0.572)
Pt (0.500, 0.709, 0.428)
Pt (0.500, 0.791, 0.928)
Pt (0.500, 0.209, 0.072)
Pt (0.500, 0.427, 0.852)
Pt (0.500, 0.573, 0.148)
Pt (0.500, 0.927, 0.648)
Pt (0.500, 0.073, 0.352)
Rh (0.500, 0.453, 0.307)
Rh (0.500, 0.547, 0.693)
Rh (0.500, 0.953, 0.193)
Rh (0.500, 0.047, 0.807)

SG = Pbam
calculated formation energy = -13.1 kcal/mol of atoms
Fermi-level density of states = 0.63 states/eV/atom

---

No. 6
Entry from Alexandria: crystalline Na3F2 at its relaxed geometry (GGA-PBE).

a b c (Å): 5.935 5.935 6.694
angles (deg): 63.68 63.68 60.00
Sites, in units of the cell vectors:
Na (0.063, 0.750, 0.750)
Na (0.750, 0.437, 0.750)
Na (0.437, 0.063, 0.750)
Na (0.250, 0.563, 0.250)
Na (0.563, 0.937, 0.250)
Na (0.937, 0.250, 0.250)
F (0.839, 0.839, 0.483)
F (0.339, 0.339, 0.983)
F (0.161, 0.161, 0.517)
F (0.661, 0.661, 0.017)

SG = R-3c
offset from the most stable computed form = 0.55 eV per formula unit
Fermi-level density of states = 0.19 states/eV/atom

---

Q: Among the records above, which one has the highest Fermi-level density of states?
A: MgP2RhCl

---

Q: What is the formula in the fifth record?
A: Nb5Pt4Rh2